First-principles (GGA-PBE) data for a relaxed KBa2InRh crystal, as listed in the Alexandria database.

a b c (Å): 6.134 6.134 5.419
angles (deg): 90.00 90.00 90.00
Atoms (fractional coordinates):
Ba  0.000  0.500  0.000
Ba  0.500  0.000  0.000
In  0.000  0.000  0.500
Rh  0.000  0.000  0.000
K  0.500  0.500  0.500

Output
Its total energy is -3.1952 eV per atom. The space-group type is No. 123. The density of states at the Fermi level is 0.809 states/eV per atom.



First-principles (GGA-PBE) data for a relaxed KBaInS3 crystal, as listed in the Alexandria database.

a b c (Å): 4.167 7.498 13.380
angles (deg): 90.00 90.00 106.14
Atoms (fractional coordinates):
S  0.367  0.734  0.609
K  0.000  0.000  0.500
In  0.475  0.950  0.750
S  0.633  0.266  0.391
S  0.083  0.166  0.750
K  0.000  0.000  0.000
S  0.917  0.834  0.250
S  0.367  0.734  0.891
Ba  0.761  0.522  0.750
In  0.525  0.050  0.250
Ba  0.239  0.478  0.250
S  0.633  0.266  0.109

Output
The space-group type is No. 63. The density of states at the Fermi level is 0.000 states/eV per atom. As for the raw formation energy: -28.7 kcal/mol of atoms.



First-principles (GGA-PBE) data for a relaxed KBaInSb2 crystal, as listed in the Alexandria database.

a b c (Å): 4.910 10.732 9.564
angles (deg): 60.47 75.13 76.78
Atoms (fractional coordinates):
K  0.583  0.581  0.253
Ba  0.730  0.830  0.711
In  0.062  0.105  0.771
Sb  0.377  0.799  0.447
In  0.938  0.895  0.229
Sb  0.623  0.201  0.553
Sb  0.111  0.791  0.987
K  0.417  0.419  0.747
Sb  0.889  0.209  0.013
Ba  0.270  0.170  0.289

Output
The space-group type is No. 12. The density of states at the Fermi level is 0.076 states/eV per atom. As for the raw formation energy: -13.3 kcal/mol of atoms.



First-principles (GGA-PBE) data for a relaxed KBaSc2In crystal, as listed in the Alexandria database.

a b c (Å): 5.692 6.678 5.692
angles (deg): 90.00 90.00 90.00
Last column: magnetic moment on the atom in μB.
Atoms (fractional coordinates):
Sc  0.500  0.000  0.000  0.39
In  0.000  0.000  0.000  0.03
Sc  0.000  0.000  0.500  0.36
K  0.500  0.500  0.500  0.02
Ba  0.000  0.500  0.000  0.08

Output
Its total energy is -3.2881 eV per atom. The space-group type is No. 123. The density of states at the Fermi level is 1.382 states/eV per atom.



First-principles (GGA-PBE) data for a relaxed KBa2InSe4 crystal, as listed in the Alexandria database.

a b c (Å): 9.051 9.051 9.046
angles (deg): 119.97 119.97 88.96
Atoms (fractional coordinates):
K  0.000  0.500  0.500
K  0.000  0.500  0.000
In  0.000  0.000  0.000
Se  0.752  0.749  0.988
Se  0.248  0.251  0.012
Ba  0.500  0.000  0.000
Se  0.787  0.213  0.000
Se  0.213  0.787  0.000
Se  0.249  0.252  0.488
Ba  0.000  0.000  0.500
Ba  0.500  0.000  0.500
Se  0.751  0.748  0.512
Ba  0.500  0.500  0.000
Se  0.287  0.713  0.500
Se  0.713  0.287  0.500
In  0.500  0.500  0.500

Output
The space-group type is No. 74. As for the raw formation energy: -30.0 kcal/mol of atoms.



First-principles (GGA-PBE) data for a relaxed KBa2In3Sn4 crystal, as listed in the Alexandria database.

a b c (Å): 5.161 5.161 12.925
angles (deg): 90.00 90.00 90.00
Atoms (fractional coordinates):
In  0.000  0.000  0.500
K  0.500  0.500  0.500
In  0.500  0.000  0.876
Sn  0.000  0.500  0.344
Sn  0.500  0.500  0.000
Sn  0.500  0.000  0.656
Sn  0.000  0.000  0.000
Ba  0.000  0.500  0.769
In  0.000  0.500  0.124
Ba  0.500  0.000  0.231

Output
Its total energy is -3.2099 eV per atom. The space-group type is No. 115. The density of states at the Fermi level is 0.634 states/eV per atom.



| no. | magnetic moment (μB per cell) |
| --- | --- |
| 1 | 0.173 |
| 2 | 0.000 |
| 3 | 0.000 |
| 4 | 1.953 |
| 5 | 0.000 |
| 6 | 0.000 |